Record 1
Entry from Alexandria: a relaxed Y6N5 crystal (PBE).

The structure belongs to space group C2/m (No. 12); the cell edges are 6.0595, 10.4787 and 6.0576 Å and the angles 90.00°, 109.65° and 90.00°. The inequivalent atoms are Y at (0.2389, 0.0000, 0.2613), Y at (0.2415, 0.1739, 0.7466), N at (0.0000, 0.0000, 0.5000), N at (0.0000, 0.1665, 0.0000) and N at (0.0000, 0.3315, 0.5000).

The raw total energy is -8.8577 eV per atom. The calculation puts the volume at 16.47 A^3/atom.

=====

Record 2
Entry from Alexandria: a relaxed PmNiSn crystal (PBE).

The structure belongs to space group P-6m2 (No. 187); the cell edges are 4.5371, 4.5371 and 3.7650 Å and the angles 90.00°, 90.00° and 120.00°. The inequivalent atoms are Pm at (0.0000, 0.0000, 0.0000), Ni at (0.3333, 0.6667, 0.5000) and Sn at (0.6667, 0.3333, 0.5000).

The raw total energy is -5.4240 eV per atom. The calculation puts the formation energy at -0.579 eV/atom. The calculation puts the volume at 22.37 A^3/atom.

=====

Record 3
Entry from Alexandria: a relaxed HoSi2 crystal (PBE).

The structure belongs to space group I4_1/amd (No. 141, origin choice 2); the cell edges are 5.8706, 5.8706 and 19.7590 Å and the angles 90.00°, 90.00° and 90.00°. The inequivalent atoms are Ho at (0.0000, 0.0000, 0.0000) and Si at (0.0000, 0.0304, 0.1502).

The raw total energy is -4.8982 eV per atom. The calculation puts the volume at 28.37 A^3/atom.

=====

Record 4
Entry from Alexandria: a relaxed KFe2PdSe crystal (PBE).

The structure belongs to space group P4/mmm (No. 123); the cell edges are 4.5861, 4.5861 and 4.9733 Å and the angles 90.00°, 90.00° and 90.00°. The inequivalent atoms are K at (0.0000, 0.0000, 0.0000), Fe at (0.0000, 0.5000, 0.5000), Pd at (0.5000, 0.5000, 0.0000) and Se at (0.5000, 0.5000, 0.5000).

The raw total energy is -4.8935 eV per atom. The calculation puts the volume at 20.92 A^3/atom.

=====

Record 5
Entry from Alexandria: a relaxed YOsSe3 crystal (PBE).

The structure belongs to space group Pm-3m (No. 221); the cell edges are 5.3974, 5.3974 and 5.3974 Å and the angles 90.00°, 90.00° and 90.00°. The inequivalent atoms are Y at (0.0000, 0.0000, 0.0000), Os at (0.5000, 0.5000, 0.5000) and Se at (0.0000, 0.0000, 0.5000).

The raw total energy is -4.7403 eV per atom. The calculation puts the volume at 31.45 A^3/atom.

=====

Record 6
Entry from Alexandria: a relaxed Nd8SnIr3I4 crystal (PBE).

The structure belongs to space group R-3m (No. 166, hexagonal axes); the cell edges are 8.6456, 8.6456 and 24.1498 Å and the angles 90.00°, 90.00° and 120.00°. The inequivalent atoms are Nd at (0.0000, 0.0000, 0.2290), Nd at (0.0247, 0.5123, 0.7702), Sn at (0.0000, 0.0000, 0.5000), Ir at (0.0000, 0.5000, 0.5000), I at (0.0000, 0.0000, 0.0000) and I at (0.0000, 0.5000, 0.0000).

The raw total energy is -5.5816 eV per atom. The calculation puts the volume at 32.57 A^3/atom.

=====

Record 7
Entry from Alexandria: a relaxed LiDy2Ga crystal (PBE).

The structure belongs to space group R-3m (No. 166, hexagonal axes); the cell edges are 3.5585, 3.5585 and 29.3780 Å and the angles 90.00°, 90.00° and 120.00°. The inequivalent atoms are Li at (0.0000, 0.0000, 0.0000), Dy at (0.0000, 0.0000, 0.2400) and Ga at (0.0000, 0.0000, 0.5000).

The raw total energy is -3.6449 eV per atom. The calculation puts the formation energy at -0.109 eV/atom. The calculation puts the volume at 26.85 A^3/atom.

=====

Record 8
Entry from Alexandria: a relaxed NiBiB3 crystal (PBE).

The structure belongs to space group Pm-3m (No. 221); the cell edges are 4.0204, 4.0204 and 4.0204 Å and the angles 90.00°, 90.00° and 90.00°. The inequivalent atoms are Ni at (0.0000, 0.0000, 0.0000), Bi at (0.5000, 0.5000, 0.5000) and B at (0.0000, 0.0000, 0.5000).

The raw total energy is -4.6906 eV per atom. The calculation puts the formation energy at 1.248 eV/atom. The calculation puts the volume at 13.00 A^3/atom.